# 1
A geometry-optimized La2Sm4Tl structure. Source: Alexandria via LeMat-Bulk, functional PBE-GGA.

Calculated values
Space-group type: P2_1/c (14)
Calculated total energy in eV per cell: -62.1

Lattice parameters (Å, degrees): 12.3100 6.5229 7.0189 122.12 90.00 90.00
Fractional coordinates of all 14 atoms:
Tl: 0.0000 0.0000 0.0000
Tl: 0.5000 0.5000 0.0000
Sm: 0.7204 0.6620 0.8515
Sm: 0.6963 0.6707 0.3414
Sm: 0.8037 0.1707 0.3414
Sm: 0.7796 0.1620 0.8515
Sm: 0.2204 0.8380 0.1485
Sm: 0.1963 0.8293 0.6586
Sm: 0.3037 0.3293 0.6586
Sm: 0.2796 0.3380 0.1485
La: 0.9778 0.6407 0.3164
La: 0.0222 0.3594 0.6836
La: 0.4778 0.8594 0.6836
La: 0.5222 0.1406 0.3164

# 2
A geometry-optimized MgZnRe2Pb structure. Source: Alexandria via LeMat-Bulk, functional PBE-GGA.

Calculated values
Space-group type: P4/mmm (123)
Calculated total energy in eV per cell: -20.2

Lattice parameters (Å, degrees): 5.1155 4.9028 5.1155 90.00 90.00 90.00
Last column: magnetic moment on the atom in μB.
Fractional coordinates of all 5 atoms:
Pb: 0.0000 0.0000 0.0000  -0.05
Re: 0.0000 0.0000 0.5000  1.56
Re: 0.5000 0.0000 0.0000  1.54
Zn: 0.0000 0.5000 0.0000  -0.01
Mg: 0.5000 0.5000 0.5000  -0.03

# 3
A geometry-optimized Mg2Ag2Pd7 structure. Source: Alexandria via LeMat-Bulk, functional PBE-GGA.

Calculated values
Space-group type: Imm2 (44)
Calculated total energy in eV per cell: -48.1

Lattice parameters (Å, degrees): 4.2424 6.8850 7.3977 117.73 106.66 90.00
Fractional coordinates of all 11 atoms:
Mg: 0.2979 0.9175 0.5957
Mg: 0.7021 0.3218 0.4043
Ag: 0.0000 0.6258 0.0000
Ag: 0.5000 0.3226 0.0000
Pd: 0.1536 0.0640 0.3073
Pd: 0.1537 0.4894 0.3075
Pd: 0.5000 0.9214 0.0000
Pd: 0.3457 0.4720 0.6915
Pd: 0.6543 0.7805 0.3085
Pd: 0.8464 0.7567 0.6927
Pd: 0.8463 0.1820 0.6925

# 4
A geometry-optimized CaBeBi2Ru structure. Source: Alexandria via LeMat-Bulk, functional PBE-GGA.

Calculated values
Space-group type: P4/mmm (123)
Calculated total energy in eV per cell: -21.9

Lattice parameters (Å, degrees): 5.3735 4.3596 5.3735 90.00 90.00 90.00
Fractional coordinates of all 5 atoms:
Ru: 0.0000 0.0000 0.0000
Ca: 0.5000 0.5000 0.5000
Bi: 0.0000 0.0000 0.5000
Bi: 0.5000 0.0000 0.0000
Be: 0.0000 0.5000 0.0000

# 5
A geometry-optimized Y2NbPd structure. Source: Alexandria via LeMat-Bulk, functional PBE-GGA.

Calculated values
Space-group type: Fm-3m (225)
Calculated total energy in eV per cell: -28.3

Lattice parameters (Å, degrees): 5.0830 5.0830 5.0830 60.00 60.00 60.00
Last column: magnetic moment on the atom in μB.
Fractional coordinates of all 4 atoms:
Y: 0.2500 0.2500 0.2500  0.20
Y: 0.7500 0.7500 0.7500  0.20
Nb: 0.0000 0.0000 0.0000  1.90
Pd: 0.5000 0.5000 0.5000  0.09

# 6
A geometry-optimized RhCl3F structure. Source: Alexandria via LeMat-Bulk, functional PBE-GGA.

Calculated values
Space-group type: P2/c (13)
ΔE_f (raw) in eV per atom: -0.664

Lattice parameters (Å, degrees): 7.9460 6.3711 10.6433 88.47 90.00 90.00
Last column: magnetic moment on the atom in μB.
Fractional coordinates of all 20 atoms:
Rh: 0.8449 0.9252 0.8961  0.24
Rh: 0.1551 0.9252 0.3961  0.24
Rh: 0.8449 0.0748 0.6039  0.24
Rh: 0.1551 0.0748 0.1039  0.24
Cl: 0.8155 0.3882 0.5050  0.19
Cl: 0.1845 0.3882 0.0050  0.19
Cl: 0.4408 0.0179 0.1221  0.01
Cl: 0.1411 0.9068 0.9134  0.01
Cl: 0.5592 0.0179 0.6221  0.01
Cl: 0.1845 0.6118 0.4950  0.19
Cl: 0.1411 0.0932 0.5866  0.01
Cl: 0.4408 0.9821 0.3779  0.01
Cl: 0.8589 0.0932 0.0866  0.01
Cl: 0.5592 0.9821 0.8779  0.01
Cl: 0.8155 0.6118 0.9950  0.19
Cl: 0.8589 0.9068 0.4134  0.01
F: 0.8627 0.8017 0.7197  0.01
F: 0.8627 0.1983 0.7803  0.01
F: 0.1373 0.8017 0.2197  0.01
F: 0.1373 0.1983 0.2803  0.01